Record 1
The following is a SCAN calculation of a PBEsol-optimized structure of Ac3Lu, from Alexandria.

Unit cell a=6.0861 b=7.6466 c=7.6466 alpha=120.00 beta=90.00 gamma=90.00
Fractional positions:
Ac 0.7500 0.8298 0.6596
Lu 0.2500 0.6667 0.3333
Ac 0.7500 0.3404 0.1702
Lu 0.7500 0.3333 0.6667
Ac 0.2500 0.1702 0.8298
Ac 0.2500 0.1702 0.3404
Ac 0.2500 0.6596 0.8298
Ac 0.7500 0.8298 0.1702

Values from the calculation:
E_form: 1.24 kcal/mol of atoms
volume: 308.2 Å³ per cell
total energy: -81.638 eV per atom
symmetry: No. 194

***

Record 2
The following is a SCAN calculation of a PBEsol-optimized structure of ZnNi2, from Alexandria.

Unit cell a=2.5240 b=4.7667 c=6.0051 alpha=106.43 beta=90.00 gamma=105.35
Each line ends with the local moment (μB).
Fractional positions:
Ni 0.3621 0.7241 0.9708  0.56
Ni 0.6379 0.2759 0.0292  0.56
Zn 0.3121 0.6241 0.3547  -0.02
Ni 0.9682 0.9365 0.6992  0.28
Ni 0.0318 0.0635 0.3008  0.28
Zn 0.6879 0.3759 0.6453  -0.02

Values from the calculation:
E_form: -1.64 kcal/mol of atoms
volume: 66.6 Å³ per cell
total energy: -15.358 eV per atom
symmetry: No. 12

***

Record 3
The following is a SCAN calculation of a PBEsol-optimized structure of Sc2BeMo, from Alexandria.

Unit cell a=2.8433 b=2.8433 c=8.2875 alpha=90.00 beta=90.00 gamma=90.00
Fractional positions:
Mo 0.5000 0.5000 0.7055
Sc 0.0000 0.0000 0.9713
Sc 0.5000 0.5000 0.3036
Be 0.0000 0.0000 0.5196

Values from the calculation:
E_form: 3.67 kcal/mol of atoms
volume: 67.0 Å³ per cell
total energy: -16.769 eV per atom
symmetry: No. 99